# 1
Entry from Alexandria: a relaxed structure of TaCdMo2 (PBE).

Properties
Its density of states at the Fermi level is 0.696 states/eV/atom. Its crystal system is monoclinic. For the formation energy, the calculation gives 0.37 eV per atom. For the total moment, the calculation gives 0.000 μB per atom.

Structure (CIF):
```
data_TaCdMo2
_chemical_formula_sum 'Ta2 Cd2 Mo4'
_space_group_name_H-M_alt 'C 1 m 1'
_space_group_IT_number 8
_space_group_name_Hall 'C -2y'
_cell_length_a 9.691
_cell_length_b 2.703
_cell_length_c 5.350
_cell_angle_alpha 90.00
_cell_angle_beta 94.45
_cell_angle_gamma 90.00
loop_
_atom_site_label
_atom_site_type_symbol
_atom_site_fract_x
_atom_site_fract_y
_atom_site_fract_z
_atom_site_occupancy
Ta1 Ta 0.000 0.000 0.000 1
Cd1 Cd 0.253 0.000 0.747 1
Mo1 Mo 0.007 0.500 0.492 1
Mo2 Mo 0.251 0.500 0.253 1
```


# 2
Entry from Alexandria: a relaxed structure of Ta2CdMo (PBE).

Properties
Its density of states at the Fermi level is 0.944 states/eV/atom. Its crystal system is tetragonal. For the formation energy, the calculation gives 0.36 eV per atom. For the total moment, the calculation gives 0.000 μB per atom.

Structure (CIF):
```
data_Ta2CdMo
_chemical_formula_sum 'Ta4 Cd2 Mo2'
_space_group_name_H-M_alt 'I -4 m 2'
_space_group_IT_number 119
_space_group_name_Hall 'I -4 -2'
_cell_length_a 4.165
_cell_length_b 4.165
_cell_length_c 8.309
_cell_angle_alpha 90.00
_cell_angle_beta 90.00
_cell_angle_gamma 90.00
loop_
_atom_site_label
_atom_site_type_symbol
_atom_site_fract_x
_atom_site_fract_y
_atom_site_fract_z
_atom_site_occupancy
Ta1 Ta 0.000 0.000 0.000 1
Ta2 Ta 0.000 0.500 0.250 1
Cd1 Cd 0.000 0.500 0.750 1
Mo1 Mo 0.000 0.000 0.500 1
```


# 3
Entry from Alexandria: a relaxed structure of Ta2CdMo (PBE).

Properties
Its density of states at the Fermi level is 1.092 states/eV/atom. Its crystal system is tetragonal. For the formation energy, the calculation gives 0.30 eV per atom. For the total moment, the calculation gives 0.000 μB per atom.

Structure (CIF):
```
data_Ta2CdMo
_chemical_formula_sum 'Ta2 Cd1 Mo1'
_space_group_name_H-M_alt 'P 4/m m m'
_space_group_IT_number 123
_space_group_name_Hall '-P 4 2'
_cell_length_a 2.778
_cell_length_b 2.778
_cell_length_c 9.454
_cell_angle_alpha 90.00
_cell_angle_beta 90.00
_cell_angle_gamma 90.00
loop_
_atom_site_label
_atom_site_type_symbol
_atom_site_fract_x
_atom_site_fract_y
_atom_site_fract_z
_atom_site_occupancy
Ta1 Ta 0.000 0.000 0.242 1
Cd1 Cd 0.500 0.500 0.500 1
Mo1 Mo 0.500 0.500 0.000 1
```


# 4
Entry from Alexandria: a relaxed structure of TaCd3Mo (PBE).

Properties
Its density of states at the Fermi level is 0.734 states/eV/atom. The calculation puts the energy above the most stable polymorph in this dataset at 0.0 meV/atom. Its crystal system is cubic. For the formation energy, the calculation gives 1.82 eV per atom. For the total moment, the calculation gives 0.450 μB per atom.

Structure (CIF):
```
data_TaCd3Mo
_chemical_formula_sum 'Ta1 Cd3 Mo1'
_space_group_name_H-M_alt 'P m -3 m'
_space_group_IT_number 221
_space_group_name_Hall '-P 4 2 3'
_cell_length_a 5.359
_cell_length_b 5.359
_cell_length_c 5.359
_cell_angle_alpha 90.00
_cell_angle_beta 90.00
_cell_angle_gamma 90.00
loop_
_atom_site_label
_atom_site_type_symbol
_atom_site_fract_x
_atom_site_fract_y
_atom_site_fract_z
_atom_site_occupancy
Ta1 Ta 0.000 0.000 0.000 1
Cd1 Cd 0.000 0.000 0.500 1
Mo1 Mo 0.500 0.500 0.500 1
```


# 5
Entry from Alexandria: a relaxed structure of Ta2CdMo (PBE).

Properties
Its density of states at the Fermi level is 0.690 states/eV/atom. Its crystal system is orthorhombic. For the formation energy, the calculation gives 0.10 eV per atom. For the total moment, the calculation gives 0.000 μB per atom.

Structure (CIF):
```
data_Ta2CdMo
_chemical_formula_sum 'Ta4 Cd2 Mo2'
_space_group_name_H-M_alt 'C m m m'
_space_group_IT_number 65
_space_group_name_Hall '-C 2 2'
_cell_length_a 3.280
_cell_length_b 4.708
_cell_length_c 9.448
_cell_angle_alpha 90.00
_cell_angle_beta 90.00
_cell_angle_gamma 90.00
loop_
_atom_site_label
_atom_site_type_symbol
_atom_site_fract_x
_atom_site_fract_y
_atom_site_fract_z
_atom_site_occupancy
Ta1 Ta 0.000 0.000 0.229 1
Cd1 Cd 0.000 0.500 0.500 1
Mo1 Mo 0.000 0.500 0.000 1
```


# 6
Entry from Alexandria: a relaxed structure of TaCdMo2 (PBE).

Properties
Its density of states at the Fermi level is 0.831 states/eV/atom. Its crystal system is orthorhombic. For the formation energy, the calculation gives 0.36 eV per atom. For the total moment, the calculation gives 0.000 μB per atom.

Structure (CIF):
```
data_TaCdMo2
_chemical_formula_sum 'Ta1 Cd1 Mo2'
_space_group_name_H-M_alt 'P m m 2'
_space_group_IT_number 25
_space_group_name_Hall 'P 2 -2'
_cell_length_a 2.724
_cell_length_b 4.437
_cell_length_c 5.783
_cell_angle_alpha 90.00
_cell_angle_beta 90.00
_cell_angle_gamma 90.00
loop_
_atom_site_label
_atom_site_type_symbol
_atom_site_fract_x
_atom_site_fract_y
_atom_site_fract_z
_atom_site_occupancy
Ta1 Ta 0.000 0.000 0.000 1
Cd1 Cd 0.500 0.500 0.262 1
Mo1 Mo 0.000 0.000 0.524 1
Mo2 Mo 0.500 0.500 0.755 1
```


# 7
Entry from Alexandria: a relaxed structure of TaCdMo2 (PBE).

Properties
Its density of states at the Fermi level is 0.627 states/eV/atom. Its crystal system is monoclinic. For the formation energy, the calculation gives 0.27 eV per atom. For the total moment, the calculation gives 0.000 μB per atom.

Structure (CIF):
```
data_TaCdMo2
_chemical_formula_sum 'Ta1 Cd1 Mo2'
_space_group_name_H-M_alt 'P 1 2/m 1'
_space_group_IT_number 10
_space_group_name_Hall '-P 2y'
_cell_length_a 2.752
_cell_length_b 4.638
_cell_length_c 5.608
_cell_angle_alpha 90.00
_cell_angle_beta 100.73
_cell_angle_gamma 90.00
loop_
_atom_site_label
_atom_site_type_symbol
_atom_site_fract_x
_atom_site_fract_y
_atom_site_fract_z
_atom_site_occupancy
Ta1 Ta 0.000 0.000 0.000 1
Cd1 Cd 0.500 0.000 0.500 1
Mo1 Mo 0.269 0.500 0.774 1
```


# 8
Entry from Alexandria: a relaxed structure of Ta2CdMo (PBE).

Properties
Its density of states at the Fermi level is 0.933 states/eV/atom. Its crystal system is monoclinic. For the formation energy, the calculation gives 0.33 eV per atom. For the total moment, the calculation gives 0.000 μB per atom.

Structure (CIF):
```
data_Ta2CdMo
_chemical_formula_sum 'Ta4 Cd2 Mo2'
_space_group_name_H-M_alt 'C 1 m 1'
_space_group_IT_number 8
_space_group_name_Hall 'C -2y'
_cell_length_a 9.776
_cell_length_b 2.803
_cell_length_c 5.335
_cell_angle_alpha 90.00
_cell_angle_beta 96.59
_cell_angle_gamma 90.00
loop_
_atom_site_label
_atom_site_type_symbol
_atom_site_fract_x
_atom_site_fract_y
_atom_site_fract_z
_atom_site_occupancy
Ta1 Ta 0.000 0.000 0.000 1
Ta2 Ta 0.250 0.000 0.749 1
Cd1 Cd 0.000 0.500 0.496 1
Mo1 Mo 0.253 0.500 0.240 1
```


# 9
Entry from Alexandria: a relaxed structure of TaCdMo2 (PBE).

Properties
Its density of states at the Fermi level is 0.670 states/eV/atom. Its crystal system is tetragonal. For the formation energy, the calculation gives 0.37 eV per atom. For the total moment, the calculation gives 0.000 μB per atom.

Structure (CIF):
```
data_TaCdMo2
_chemical_formula_sum 'Ta2 Cd2 Mo4'
_space_group_name_H-M_alt 'I -4 m 2'
_space_group_IT_number 119
_space_group_name_Hall 'I -4 -2'
_cell_length_a 4.220
_cell_length_b 4.220
_cell_length_c 7.772
_cell_angle_alpha 90.00
_cell_angle_beta 90.00
_cell_angle_gamma 90.00
loop_
_atom_site_label
_atom_site_type_symbol
_atom_site_fract_x
_atom_site_fract_y
_atom_site_fract_z
_atom_site_occupancy
Ta1 Ta 0.000 0.000 0.000 1
Cd1 Cd 0.000 0.500 0.750 1
Mo1 Mo 0.000 0.000 0.500 1
Mo2 Mo 0.000 0.500 0.250 1
```


# 10
Entry from Alexandria: a relaxed structure of Ta2CdMo (PBE).

Properties
Its density of states at the Fermi level is 0.775 states/eV/atom. Its crystal system is trigonal. For the formation energy, the calculation gives 0.34 eV per atom. For the total moment, the calculation gives 0.000 μB per atom.

Structure (CIF):
```
data_Ta2CdMo
_chemical_formula_sum 'Ta6 Cd3 Mo3'
_space_group_name_H-M_alt 'R -3 m'
_space_group_IT_number 166
_space_group_name_Hall '-R 3 2"'
_cell_length_a 2.8745
_cell_length_b 2.8745
_cell_length_c 30.8452
_cell_angle_alpha 90.00
_cell_angle_beta 90.00
_cell_angle_gamma 120.00
loop_
_atom_site_label
_atom_site_type_symbol
_atom_site_fract_x
_atom_site_fract_y
_atom_site_fract_z
_atom_site_occupancy
Ta1 Ta 0.0000 0.0000 0.2475 1
Cd1 Cd 0.0000 0.0000 0.0000 1
Mo1 Mo 0.0000 0.0000 0.5000 1
```


# 11
Entry from Alexandria: a relaxed structure of TaCdMo2 (PBE).

Properties
Its density of states at the Fermi level is 0.591 states/eV/atom. Its crystal system is orthorhombic. For the formation energy, the calculation gives 0.36 eV per atom. For the total moment, the calculation gives 0.000 μB per atom.

Structure (CIF):
```
data_TaCdMo2
_chemical_formula_sum 'Ta1 Cd1 Mo2'
_space_group_name_H-M_alt 'P m m m'
_space_group_IT_number 47
_space_group_name_Hall '-P 2 2'
_cell_length_a 2.678
_cell_length_b 4.498
_cell_length_c 5.832
_cell_angle_alpha 90.00
_cell_angle_beta 90.00
_cell_angle_gamma 90.00
loop_
_atom_site_label
_atom_site_type_symbol
_atom_site_fract_x
_atom_site_fract_y
_atom_site_fract_z
_atom_site_occupancy
Ta1 Ta 0.000 0.000 0.000 1
Cd1 Cd 0.000 0.000 0.500 1
Mo1 Mo 0.500 0.500 0.240 1
```


# 12
Entry from Alexandria: a relaxed structure of TaCdMo2 (PBE).

Properties
Its density of states at the Fermi level is 0.777 states/eV/atom. Its crystal system is tetragonal. For the formation energy, the calculation gives 0.37 eV per atom. For the total moment, the calculation gives 0.000 μB per atom.

Structure (CIF):
```
data_TaCdMo2
_chemical_formula_sum 'Ta1 Cd1 Mo2'
_space_group_name_H-M_alt 'P 4 m m'
_space_group_IT_number 99
_space_group_name_Hall 'P 4 -2'
_cell_length_a 2.729
_cell_length_b 2.729
_cell_length_c 9.455
_cell_angle_alpha 90.00
_cell_angle_beta 90.00
_cell_angle_gamma 90.00
loop_
_atom_site_label
_atom_site_type_symbol
_atom_site_fract_x
_atom_site_fract_y
_atom_site_fract_z
_atom_site_occupancy
Ta1 Ta 0.000 0.000 0.000 1
Cd1 Cd 0.500 0.500 0.262 1
Mo1 Mo 0.000 0.000 0.514 1
Mo2 Mo 0.500 0.500 0.755 1
```


For reference, total energy by record: -0.303 -0.312 -0.315 -0.120 -0.322 -0.303 -0.306 -0.313 -0.303 -0.313 -0.303 -0.303 Ha/atom.